1.
AcPr2Ge2: relaxed, PBE-GGA.

The value obtained for the total magnetic moment is 0.0 μB/cell. Its formation energy is -553.1 meV/atom.

The structure belongs to space group C2/m (No. 12); the cell edges are 12.6566, 3.9886 and 6.0546 Å and the angles 90.00°, 101.85° and 90.00°. The distinct sites, in fractional coordinates, are Ac at (0.0000, 0.0000, 0.0000), Pr at (0.1395, 0.5000, 0.5626) and Ge at (0.2164, 0.5000, 0.1067).



2.
AcPr2Ge4: relaxed, PBE-GGA.

The value obtained for the total magnetic moment is 0.0 μB/cell. Its formation energy is -751.0 meV/atom.

The structure belongs to space group Immm (No. 71); the cell edges are 4.1774, 4.6117 and 18.8332 Å and the angles 90.00°, 90.00° and 90.00°. The distinct sites, in fractional coordinates, are Ac at (0.0000, 0.0000, 0.0000), Pr at (0.0000, 0.5000, 0.3188), Ge at (0.0000, 0.0000, 0.4313) and Ge at (0.0000, 0.5000, 0.1557).



- total magnetic moment of number 1 (AcPr2Ge2)?
  0.0 μB/cell